Record 1
The following is a DFT calculation (PBE) of an optimized crystal structure of B2MoI.

Summary:
Total magnetization = 0.00 μB/atom
DFT total energy = -20.53 eV per formula unit
Raw formation energy = 1302.4 meV/atom
Energy above the most stable polymorph in this dataset = 0.000 eV/atom

Cell lengths 5.462, 5.462, 10.026 Å; angles 90.00, 90.00, 90.00 degrees
Space group I-42d (No. 122)
One atom of each set of equivalent atoms:
1 B 0.186 0.250 0.125 x8
2 Mo 0.000 0.000 0.000 x4
3 I 0.000 0.000 0.500 x4



Record 2
The following is a DFT calculation (PBE) of an optimized crystal structure of PaZnSi2Pt5.

Summary:
Total magnetization = 0.11 μB/atom
DFT total energy = -57.03 eV per formula unit
Raw formation energy = -578.9 meV/atom

Cell lengths 4.047, 4.047, 10.442 Å; angles 90.00, 90.00, 90.00 degrees
Space group P4/mmm (No. 123)
One atom of each set of equivalent atoms:
1 Pa 0.000 0.000 0.000 x1
2 Zn 0.000 0.000 0.500 x1
3 Si 0.500 0.500 0.225 x2
4 Pt 0.000 0.500 0.341 x4
5 Pt 0.500 0.500 0.000 x1



Record 3
The following is a DFT calculation (PBE) of an optimized crystal structure of YReF2.

Summary:
Total magnetization = 0.00 μB/atom
DFT total energy = -25.51 eV per formula unit
Raw formation energy = -713.5 meV/atom
Energy above the most stable polymorph in this dataset = 0.513 eV/atom

Cell lengths 4.0927, 4.0927, 12.5690 Å; angles 90.00, 90.00, 120.00 degrees
Space group R-3m (No. 166, hexagonal axes)
One atom of each set of equivalent atoms:
1 Y 0.0000 0.0000 0.0000 x3
2 Re 0.0000 0.0000 0.5000 x3
3 F 0.0000 0.0000 0.1888 x6



Record 4
The following is a DFT calculation (PBE) of an optimized crystal structure of Ho5Zn2Hg2.

Summary:
Total magnetization = 0.00 μB/atom
ΔH_f (0 K) = -0.33 eV per atom
DFT total energy = -29.01 eV per formula unit

Cell lengths 16.879, 7.367, 7.416 Å; angles 90.00, 90.00, 90.00 degrees
Space group Cmce (No. 64)
One atom of each set of equivalent atoms:
1 Ho 0.000 0.000 0.000 x4
2 Ho 0.134 0.181 0.324 x16
3 Zn 0.000 0.119 0.623 x8
4 Hg 0.220 0.000 0.000 x8



Record 5
The following is a DFT calculation (PBE) of an optimized crystal structure of Co2HgSeI.

Summary:
Total magnetization = 0.95 μB/atom
DFT total energy = -12.10 eV per formula unit
Raw formation energy = 1490.5 meV/atom

Cell lengths 4.891, 4.891, 6.436 Å; angles 90.00, 90.00, 90.00 degrees
Space group P4/mmm (No. 123)
One atom of each set of equivalent atoms:
1 Co 0.000 0.500 0.000 x2
2 Hg 0.000 0.000 0.000 x1
3 Se 0.500 0.500 0.500 x1
4 I 0.000 0.000 0.500 x1



Record 6
The following is a DFT calculation (PBE) of an optimized crystal structure of CsSbBr3.

Summary:
Total magnetization = 0.00 μB/atom
DFT total energy = -15.04 eV per formula unit
Raw formation energy = -1009.8 meV/atom
Energy above the most stable polymorph in this dataset = 0.000 eV/atom

Cell lengths 9.838, 10.068, 11.139 Å; angles 90.00, 122.53, 90.00 degrees
Space group P2_1/c (No. 14)
One atom of each set of equivalent atoms:
1 Cs 0.135 0.113 0.316 x4
2 Sb 0.479 0.577 0.376 x4
3 Br 0.192 0.063 0.015 x4
4 Br 0.202 0.062 0.680 x4
5 Br 0.413 0.710 0.982 x4



Record 7
The following is a DFT calculation (PBE) of an optimized crystal structure of LaPm3SmEr.

Summary:
Total magnetization = 0.00 μB/atom
ΔH_f (0 K) = 0.02 eV per atom
DFT total energy = -28.33 eV per formula unit

Cell lengths 8.124, 5.166, 10.295 Å; angles 90.00, 108.45, 90.00 degrees
Space group P2_1/m (No. 11)
One atom of each set of equivalent atoms:
1 La 0.168 0.250 0.291 x2
2 Pm 0.169 0.750 0.544 x2
3 Pm 0.171 0.250 0.794 x2
4 Pm 0.171 0.750 0.041 x2
5 Sm 0.499 0.250 0.627 x2
6 Er 0.497 0.750 0.877 x2



Record 8
The following is a DFT calculation (PBE) of an optimized crystal structure of Sr2PrPuN4.

Summary:
Total magnetization = 0.38 μB/atom
DFT total energy = -63.79 eV per formula unit
Raw formation energy = -1001.3 meV/atom

Cell lengths 6.267, 3.654, 6.367 Å; angles 90.00, 109.06, 90.00 degrees
Space group P2/m (No. 10)
One atom of each set of equivalent atoms:
1 Sr 0.000 0.000 0.000 x1
2 Sr 0.500 0.500 0.000 x1
3 Pr 0.000 0.500 0.500 x1
4 Pu 0.500 0.000 0.500 x1
5 N 0.276 0.500 0.288 x2
6 N 0.278 0.000 0.700 x2



Record 9
The following is a DFT calculation (PBE) of an optimized crystal structure of SrLiMg2Hg.

Summary:
Total magnetization = 0.00 μB/atom
ΔH_f (0 K) = -0.06 eV per atom
DFT total energy = -7.40 eV per formula unit
Energy above the most stable polymorph in this dataset = 0.005 eV/atom

Cell lengths 5.096, 5.096, 5.105 Å; angles 90.00, 90.00, 90.00 degrees
Space group P4/mmm (No. 123)
One atom of each set of equivalent atoms:
1 Sr 0.000 0.000 0.000 x1
2 Li 0.500 0.500 0.500 x1
3 Mg 0.000 0.500 0.500 x2
4 Hg 0.500 0.500 0.000 x1



Record 10
The following is a DFT calculation (PBE) of an optimized crystal structure of TePHF.

Summary:
Total magnetization = 0.00 μB/atom
DFT total energy = -15.61 eV per formula unit
Energy above the most stable polymorph in this dataset = 0.155 eV/atom

Cell lengths 3.968, 3.968, 4.662 Å; angles 90.00, 90.00, 90.00 degrees
Space group P4mm (No. 99)
One atom of each set of equivalent atoms:
1 Te 0.000 0.000 0.000 x1
2 P 0.500 0.500 0.947 x1
3 H 0.500 0.500 0.254 x1
4 F 0.000 0.000 0.555 x1



Record 11
The following is a DFT calculation (PBE) of an optimized crystal structure of In2SbIr.

Summary:
Total magnetization = 0.00 μB/atom
DFT total energy = -18.78 eV per formula unit
Raw formation energy = -78.8 meV/atom

Cell lengths 9.924, 3.166, 6.621 Å; angles 90.00, 112.74, 90.00 degrees
Space group Cm (No. 8)
One atom of each set of equivalent atoms:
1 In 0.000 0.000 0.000 x2
2 In 0.170 0.000 0.636 x2
3 Sb 0.353 0.000 0.366 x2
4 Ir 0.231 0.500 0.012 x2



Record 12
The following is a DFT calculation (PBE) of an optimized crystal structure of Nd5BiRu2.

Summary:
Total magnetization = 0.00 μB/atom
ΔH_f (0 K) = -0.39 eV per atom
DFT total energy = -49.43 eV per formula unit

Cell lengths 8.016, 8.016, 14.100 Å; angles 90.00, 90.00, 90.00 degrees
Space group I4/mcm (No. 140)
One atom of each set of equivalent atoms:
1 Nd 0.000 0.000 0.000 x4
2 Nd 0.157 0.343 0.131 x16
3 Bi 0.000 0.000 0.250 x4
4 Ru 0.143 0.357 0.500 x8